(1)
The following is a DFT calculation (PBE) of GaFePdAu after structural relaxation.

```
data_GaFePdAu
_symmetry_space_group_name_H-M 'F -4 3 m'
_symmetry_Int_Tables_number 216
_symmetry_space_group_name_Hall 'F -4 2 3'
_cell_length_a 6.246
_cell_length_b 6.246
_cell_length_c 6.246
_cell_angle_alpha 90.00
_cell_angle_beta 90.00
_cell_angle_gamma 90.00
loop_
_atom_site_label
_atom_site_type_symbol
_atom_site_fract_x
_atom_site_fract_y
_atom_site_fract_z
Ga1 Ga 0.000 0.000 0.000
Fe1 Fe 0.250 0.250 0.250
Pd1 Pd 0.250 0.250 0.750
Au1 Au 0.000 0.000 0.500
```

## Properties
Offset from the most stable computed form   0.00 eV/f.u.



(2)
The following is a DFT calculation (PBE) of GaFePtAu after structural relaxation.

```
data_GaFePtAu
_symmetry_space_group_name_H-M 'F -4 3 m'
_symmetry_Int_Tables_number 216
_symmetry_space_group_name_Hall 'F -4 2 3'
_cell_length_a 6.261
_cell_length_b 6.261
_cell_length_c 6.261
_cell_angle_alpha 90.00
_cell_angle_beta 90.00
_cell_angle_gamma 90.00
loop_
_atom_site_label
_atom_site_type_symbol
_atom_site_fract_x
_atom_site_fract_y
_atom_site_fract_z
Ga1 Ga 0.000 0.000 0.000
Fe1 Fe 0.250 0.250 0.250
Pt1 Pt 0.250 0.250 0.750
Au1 Au 0.000 0.000 0.500
```

## Properties
Offset from the most stable computed form   0.00 eV/f.u.



(3)
The following is a DFT calculation (PBE) of TaGaFeAu after structural relaxation.

```
data_TaGaFeAu
_symmetry_space_group_name_H-M 'F -4 3 m'
_symmetry_Int_Tables_number 216
_symmetry_space_group_name_Hall 'F -4 2 3'
_cell_length_a 6.318
_cell_length_b 6.318
_cell_length_c 6.318
_cell_angle_alpha 90.00
_cell_angle_beta 90.00
_cell_angle_gamma 90.00
loop_
_atom_site_label
_atom_site_type_symbol
_atom_site_fract_x
_atom_site_fract_y
_atom_site_fract_z
Ta1 Ta 0.000 0.000 0.000
Ga1 Ga 0.250 0.250 0.250
Fe1 Fe 0.000 0.000 0.500
Au1 Au 0.250 0.250 0.750
```

## Properties
Offset from the most stable computed form   0.16 eV/f.u.



(4)
The following is a DFT calculation (PBE) of TaGaFeAu after structural relaxation.

```
data_TaGaFeAu
_symmetry_space_group_name_H-M 'F -4 3 m'
_symmetry_Int_Tables_number 216
_symmetry_space_group_name_Hall 'F -4 2 3'
_cell_length_a 6.315
_cell_length_b 6.315
_cell_length_c 6.315
_cell_angle_alpha 90.00
_cell_angle_beta 90.00
_cell_angle_gamma 90.00
loop_
_atom_site_label
_atom_site_type_symbol
_atom_site_fract_x
_atom_site_fract_y
_atom_site_fract_z
Ta1 Ta 0.000 0.000 0.000
Ga1 Ga 0.000 0.000 0.500
Fe1 Fe 0.250 0.250 0.750
Au1 Au 0.250 0.250 0.250
```

## Properties
Offset from the most stable computed form   0.00 eV/f.u.



(5)
The following is a DFT calculation (PBE) of GaFeTcAu after structural relaxation.

```
data_GaFeTcAu
_symmetry_space_group_name_H-M 'F -4 3 m'
_symmetry_Int_Tables_number 216
_symmetry_space_group_name_Hall 'F -4 2 3'
_cell_length_a 6.213
_cell_length_b 6.213
_cell_length_c 6.213
_cell_angle_alpha 90.00
_cell_angle_beta 90.00
_cell_angle_gamma 90.00
loop_
_atom_site_label
_atom_site_type_symbol
_atom_site_fract_x
_atom_site_fract_y
_atom_site_fract_z
Ga1 Ga 0.000 0.000 0.000
Fe1 Fe 0.250 0.250 0.250
Tc1 Tc 0.250 0.250 0.750
Au1 Au 0.000 0.000 0.500
```

## Properties
Offset from the most stable computed form   0.00 eV/f.u.



(6)
The following is a DFT calculation (PBE) of Gd2Fe6Si4Au after structural relaxation.

```
data_Gd2Fe6Si4Au
_symmetry_space_group_name_H-M 'R -3 m'
_symmetry_Int_Tables_number 166
_symmetry_space_group_name_Hall '-R 3 2"'
_cell_length_a 3.7870
_cell_length_b 3.7870
_cell_length_c 53.5057
_cell_angle_alpha 90.00
_cell_angle_beta 90.00
_cell_angle_gamma 120.00
loop_
_atom_site_label
_atom_site_type_symbol
_atom_site_fract_x
_atom_site_fract_y
_atom_site_fract_z
Gd1 Gd 0.0000 0.0000 0.0629
Fe1 Fe 0.0000 0.0000 0.1920
Fe2 Fe 0.0000 0.0000 0.3173
Fe3 Fe 0.0000 0.0000 0.4489
Si1 Si 0.0000 0.0000 0.2348
Si2 Si 0.0000 0.0000 0.3598
Au1 Au 0.0000 0.0000 0.5000
```

## Properties
E_tot   -6.543 eV per atom



(7)
The following is a DFT calculation (PBE) of FeGeAu after structural relaxation.

```
data_FeGeAu
_symmetry_space_group_name_H-M 'F -4 3 m'
_symmetry_Int_Tables_number 216
_symmetry_space_group_name_Hall 'F -4 2 3'
_cell_length_a 6.074
_cell_length_b 6.074
_cell_length_c 6.074
_cell_angle_alpha 90.00
_cell_angle_beta 90.00
_cell_angle_gamma 90.00
loop_
_atom_site_label
_atom_site_type_symbol
_atom_site_fract_x
_atom_site_fract_y
_atom_site_fract_z
Fe1 Fe 0.000 0.000 0.000
Ge1 Ge 0.000 0.000 0.500
Au1 Au 0.250 0.250 0.250
```

## Properties
E_tot   -5.070 eV per atom



(8)
The following is a DFT calculation (PBE) of Fe3Ge5Au after structural relaxation.

```
data_Fe3Ge5Au
_symmetry_space_group_name_H-M 'P 6/m m m'
_symmetry_Int_Tables_number 191
_symmetry_space_group_name_Hall '-P 6 2'
_cell_length_a 4.9370
_cell_length_b 4.9370
_cell_length_c 6.7003
_cell_angle_alpha 90.00
_cell_angle_beta 90.00
_cell_angle_gamma 120.00
loop_
_atom_site_label
_atom_site_type_symbol
_atom_site_fract_x
_atom_site_fract_y
_atom_site_fract_z
Fe1 Fe 0.0000 0.5000 0.0000
Ge1 Ge 0.0000 0.0000 0.0000
Ge2 Ge 0.3333 0.6667 0.3047
Au1 Au 0.0000 0.0000 0.5000
```

## Properties
E_tot   -5.641 eV per atom



(9)
The following is a DFT calculation (PBE) of FeGeAu2 after structural relaxation.

```
data_FeGeAu2
_symmetry_space_group_name_H-M 'F -4 3 m'
_symmetry_Int_Tables_number 216
_symmetry_space_group_name_Hall 'F -4 2 3'
_cell_length_a 6.450
_cell_length_b 6.450
_cell_length_c 6.450
_cell_angle_alpha 90.00
_cell_angle_beta 90.00
_cell_angle_gamma 90.00
loop_
_atom_site_label
_atom_site_type_symbol
_atom_site_fract_x
_atom_site_fract_y
_atom_site_fract_z
Fe1 Fe 0.000 0.000 0.000
Ge1 Ge 0.250 0.250 0.750
Au1 Au 0.000 0.000 0.500
Au2 Au 0.250 0.250 0.250
```

## Properties
E_tot   -4.657 eV per atom



(10)
The following is a DFT calculation (PBE) of HfFeGeAu after structural relaxation.

```
data_HfFeGeAu
_symmetry_space_group_name_H-M 'F -4 3 m'
_symmetry_Int_Tables_number 216
_symmetry_space_group_name_Hall 'F -4 2 3'
_cell_length_a 6.453
_cell_length_b 6.453
_cell_length_c 6.453
_cell_angle_alpha 90.00
_cell_angle_beta 90.00
_cell_angle_gamma 90.00
loop_
_atom_site_label
_atom_site_type_symbol
_atom_site_fract_x
_atom_site_fract_y
_atom_site_fract_z
Hf1 Hf 0.000 0.000 0.000
Fe1 Fe 0.000 0.000 0.500
Ge1 Ge 0.250 0.250 0.250
Au1 Au 0.250 0.250 0.750
```

## Properties
Offset from the most stable computed form   0.00 eV/f.u.



(11)
The following is a DFT calculation (PBE) of HfFeGeAu after structural relaxation.

```
data_HfFeGeAu
_symmetry_space_group_name_H-M 'F -4 3 m'
_symmetry_Int_Tables_number 216
_symmetry_space_group_name_Hall 'F -4 2 3'
_cell_length_a 6.432
_cell_length_b 6.432
_cell_length_c 6.432
_cell_angle_alpha 90.00
_cell_angle_beta 90.00
_cell_angle_gamma 90.00
loop_
_atom_site_label
_atom_site_type_symbol
_atom_site_fract_x
_atom_site_fract_y
_atom_site_fract_z
Hf1 Hf 0.000 0.000 0.000
Fe1 Fe 0.250 0.250 0.750
Ge1 Ge 0.000 0.000 0.500
Au1 Au 0.250 0.250 0.250
```

## Properties
Offset from the most stable computed form   0.36 eV/f.u.



(12)
The following is a DFT calculation (PBE) of FeHgGeAu after structural relaxation.

```
data_FeHgGeAu
_symmetry_space_group_name_H-M 'F -4 3 m'
_symmetry_Int_Tables_number 216
_symmetry_space_group_name_Hall 'F -4 2 3'
_cell_length_a 6.566
_cell_length_b 6.566
_cell_length_c 6.566
_cell_angle_alpha 90.00
_cell_angle_beta 90.00
_cell_angle_gamma 90.00
loop_
_atom_site_label
_atom_site_type_symbol
_atom_site_fract_x
_atom_site_fract_y
_atom_site_fract_z
Fe1 Fe 0.000 0.000 0.000
Hg1 Hg 0.250 0.250 0.250
Ge1 Ge 0.250 0.250 0.750
Au1 Au 0.000 0.000 0.500
```

## Properties
Offset from the most stable computed form   0.00 eV/f.u.



(13)
The following is a DFT calculation (PBE) of FeGeIrAu after structural relaxation.

```
data_FeGeIrAu
_symmetry_space_group_name_H-M 'F -4 3 m'
_symmetry_Int_Tables_number 216
_symmetry_space_group_name_Hall 'F -4 2 3'
_cell_length_a 6.226
_cell_length_b 6.226
_cell_length_c 6.226
_cell_angle_alpha 90.00
_cell_angle_beta 90.00
_cell_angle_gamma 90.00
loop_
_atom_site_label
_atom_site_type_symbol
_atom_site_fract_x
_atom_site_fract_y
_atom_site_fract_z
Fe1 Fe 0.000 0.000 0.000
Ge1 Ge 0.250 0.250 0.750
Ir1 Ir 0.000 0.000 0.500
Au1 Au 0.250 0.250 0.250
```

## Properties
Offset from the most stable computed form   0.00 eV/f.u.